# 1
The following is a DFT calculation (GGA-PBE) of crystalline BiH4Se at its relaxed geometry.

Geometry as CIF:
```
data_BiH4Se
_cell_length_a 4.621
_cell_length_b 5.712
_cell_length_c 8.973
_cell_angle_alpha 84.46
_cell_angle_beta 79.98
_cell_angle_gamma 67.07
_space_group_name_H-M_alt 'P -1'
_space_group_IT_number 2
_space_group_name_Hall '-P 1'
loop_
_atom_site_label
_atom_site_type_symbol
_atom_site_fract_x
_atom_site_fract_y
_atom_site_fract_z
Bi1 Bi 0.048 0.438 0.166
H1 H 0.115 0.047 0.656
H2 H 0.381 0.303 0.453
H3 H 0.475 0.265 0.518
H4 H 0.478 0.304 0.099
Se1 Se 0.159 0.886 0.220
```

# 2
The following is a DFT calculation (GGA-PBE) of crystalline CsTlBiPb at its relaxed geometry.

Geometry as CIF:
```
data_CsTlBiPb
_cell_length_a 5.4489
_cell_length_b 5.4489
_cell_length_c 21.2900
_cell_angle_alpha 90.00
_cell_angle_beta 90.00
_cell_angle_gamma 120.00
_space_group_name_H-M_alt 'R 3 m'
_space_group_IT_number 160
_space_group_name_Hall 'R 3 -2"'
loop_
_atom_site_label
_atom_site_type_symbol
_atom_site_fract_x
_atom_site_fract_y
_atom_site_fract_z
Cs1 Cs 0.0000 0.0000 0.0000
Tl1 Tl 0.0000 0.0000 0.5393
Bi1 Bi 0.0000 0.0000 0.7977
Pb1 Pb 0.0000 0.0000 0.1908
```

Computed properties:
The value obtained for the polymorph energy (0 for the lowest one) is 0.0 kJ/mol of formula units. Its formation energy is -0.11 eV per atom.

# 3
The following is a DFT calculation (GGA-PBE) of crystalline Li2VAgRh at its relaxed geometry.

Geometry as CIF:
```
data_Li2VAgRh
_cell_length_a 4.429
_cell_length_b 4.429
_cell_length_c 4.802
_cell_angle_alpha 90.00
_cell_angle_beta 90.00
_cell_angle_gamma 90.00
_space_group_name_H-M_alt 'P 4/m m m'
_space_group_IT_number 123
_space_group_name_Hall '-P 4 2'
loop_
_atom_site_label
_atom_site_type_symbol
_atom_site_fract_x
_atom_site_fract_y
_atom_site_fract_z
Li1 Li 0.000 0.500 0.000
V1 V 0.000 0.000 0.000
Ag1 Ag 0.000 0.000 0.500
Rh1 Rh 0.500 0.500 0.500
```

Computed properties:
Its formation energy is 1.29 eV per atom.

# 4
The following is a DFT calculation (GGA-PBE) of crystalline SrPr2P2N6 at its relaxed geometry.

Geometry as CIF:
```
data_SrPr2P2N6
_cell_length_a 5.408
_cell_length_b 6.081
_cell_length_c 6.475
_cell_angle_alpha 111.80
_cell_angle_beta 97.38
_cell_angle_gamma 114.76
_space_group_name_H-M_alt 'P -1'
_space_group_IT_number 2
_space_group_name_Hall '-P 1'
loop_
_atom_site_label
_atom_site_type_symbol
_atom_site_fract_x
_atom_site_fract_y
_atom_site_fract_z
Sr1 Sr 0.000 0.000 0.000
Pr1 Pr 0.244 0.418 0.670
P1 P 0.340 0.772 0.270
N1 N 0.211 0.969 0.359
N2 N 0.212 0.513 0.322
N3 N 0.482 0.223 0.904
```

Computed properties:
As for the uncorrected formation energy: -0.936 eV/atom.

# 5
The following is a DFT calculation (GGA-PBE) of crystalline OsCl at its relaxed geometry.

Geometry as CIF:
```
data_OsCl
_cell_length_a 2.9150
_cell_length_b 2.9150
_cell_length_c 12.1125
_cell_angle_alpha 90.00
_cell_angle_beta 90.00
_cell_angle_gamma 120.00
_space_group_name_H-M_alt 'R -3 m'
_space_group_IT_number 166
_space_group_name_Hall '-R 3 2"'
loop_
_atom_site_label
_atom_site_type_symbol
_atom_site_fract_x
_atom_site_fract_y
_atom_site_fract_z
Os1 Os 0.0000 0.0000 0.0000
Cl1 Cl 0.0000 0.0000 0.5000
```

Computed properties:
The value obtained for the polymorph energy (0 for the lowest one) is 217.9 kJ/mol of formula units. As for the uncorrected formation energy: 1.253 eV/atom.

# 6
The following is a DFT calculation (GGA-PBE) of crystalline MgAuCl2 at its relaxed geometry.

Geometry as CIF:
```
data_MgAuCl2
_cell_length_a 3.884
_cell_length_b 3.884
_cell_length_c 11.300
_cell_angle_alpha 90.00
_cell_angle_beta 90.00
_cell_angle_gamma 90.00
_space_group_name_H-M_alt 'I -4 m 2'
_space_group_IT_number 119
_space_group_name_Hall 'I -4 -2'
loop_
_atom_site_label
_atom_site_type_symbol
_atom_site_fract_x
_atom_site_fract_y
_atom_site_fract_z
Mg1 Mg 0.000 0.000 0.000
Au1 Au 0.000 0.500 0.750
Cl1 Cl 0.000 0.000 0.500
Cl2 Cl 0.000 0.500 0.250
```

Computed properties:
The value obtained for the polymorph energy (0 for the lowest one) is 222.1 kJ/mol of formula units. As for the uncorrected formation energy: -0.413 eV/atom.

# 7
The following is a DFT calculation (GGA-PBE) of crystalline BaIn2GaH at its relaxed geometry.

Geometry as CIF:
```
data_BaIn2GaH
_cell_length_a 6.629
_cell_length_b 6.629
_cell_length_c 4.459
_cell_angle_alpha 90.00
_cell_angle_beta 90.00
_cell_angle_gamma 90.00
_space_group_name_H-M_alt 'P 4/m m m'
_space_group_IT_number 123
_space_group_name_Hall '-P 4 2'
loop_
_atom_site_label
_atom_site_type_symbol
_atom_site_fract_x
_atom_site_fract_y
_atom_site_fract_z
Ba1 Ba 0.000 0.000 0.000
In1 In 0.000 0.500 0.000
Ga1 Ga 0.500 0.500 0.500
H1 H 0.000 0.000 0.500
```

# 8
The following is a DFT calculation (GGA-PBE) of crystalline BeSiAs2Br at its relaxed geometry.

Geometry as CIF:
```
data_BeSiAs2Br
_cell_length_a 4.815
_cell_length_b 4.815
_cell_length_c 4.994
_cell_angle_alpha 90.00
_cell_angle_beta 90.00
_cell_angle_gamma 90.00
_space_group_name_H-M_alt 'P 4/m m m'
_space_group_IT_number 123
_space_group_name_Hall '-P 4 2'
loop_
_atom_site_label
_atom_site_type_symbol
_atom_site_fract_x
_atom_site_fract_y
_atom_site_fract_z
Be1 Be 0.000 0.000 0.000
Si1 Si 0.500 0.500 0.500
As1 As 0.000 0.500 0.500
Br1 Br 0.500 0.500 0.000
```

Computed properties:
The value obtained for the polymorph energy (0 for the lowest one) is 158.5 kJ/mol of formula units. As for the uncorrected formation energy: 0.973 eV/atom.

# 9
The following is a DFT calculation (GGA-PBE) of crystalline YCuAsS2 at its relaxed geometry.

Geometry as CIF:
```
data_YCuAsS2
_cell_length_a 5.124
_cell_length_b 5.124
_cell_length_c 5.292
_cell_angle_alpha 90.00
_cell_angle_beta 90.00
_cell_angle_gamma 90.00
_space_group_name_H-M_alt 'P 4/m m m'
_space_group_IT_number 123
_space_group_name_Hall '-P 4 2'
loop_
_atom_site_label
_atom_site_type_symbol
_atom_site_fract_x
_atom_site_fract_y
_atom_site_fract_z
Y1 Y 0.000 0.000 0.000
Cu1 Cu 0.000 0.000 0.500
As1 As 0.500 0.500 0.500
S1 S 0.000 0.500 0.000
```

Computed properties:
As for the uncorrected formation energy: 0.396 eV/atom.

# 10
The following is a DFT calculation (GGA-PBE) of crystalline Pu2TlPd at its relaxed geometry.

Geometry as CIF:
```
data_Pu2TlPd
_cell_length_a 4.421
_cell_length_b 4.421
_cell_length_c 4.726
_cell_angle_alpha 90.00
_cell_angle_beta 90.00
_cell_angle_gamma 90.00
_space_group_name_H-M_alt 'P 4/m m m'
_space_group_IT_number 123
_space_group_name_Hall '-P 4 2'
loop_
_atom_site_label
_atom_site_type_symbol
_atom_site_fract_x
_atom_site_fract_y
_atom_site_fract_z
Pu1 Pu 0.000 0.500 0.000
Tl1 Tl 0.000 0.000 0.500
Pd1 Pd 0.500 0.500 0.500
```

Computed properties:
The value obtained for the polymorph energy (0 for the lowest one) is 3.7 kJ/mol of formula units. Its formation energy is -0.18 eV per atom.

# 11
The following is a DFT calculation (GGA-PBE) of crystalline Zn2FeTc at its relaxed geometry.

Geometry as CIF:
```
data_Zn2FeTc
_cell_length_a 5.971
_cell_length_b 5.971
_cell_length_c 5.971
_cell_angle_alpha 90.00
_cell_angle_beta 90.00
_cell_angle_gamma 90.00
_space_group_name_H-M_alt 'F -4 3 m'
_space_group_IT_number 216
_space_group_name_Hall 'F -4 2 3'
loop_
_atom_site_label
_atom_site_type_symbol
_atom_site_fract_x
_atom_site_fract_y
_atom_site_fract_z
Zn1 Zn 0.000 0.000 0.000
Zn2 Zn 0.250 0.250 0.250
Fe1 Fe 0.000 0.000 0.500
Tc1 Tc 0.250 0.250 0.750
```

Computed properties:
The value obtained for the polymorph energy (0 for the lowest one) is 63.0 kJ/mol of formula units. Its formation energy is 0.17 eV per atom.

# 12
The following is a DFT calculation (GGA-PBE) of crystalline SmGa2Pt3 at its relaxed geometry.

Geometry as CIF:
```
data_SmGa2Pt3
_cell_length_a 16.774
_cell_length_b 4.079
_cell_length_c 10.059
_cell_angle_alpha 90.00
_cell_angle_beta 106.63
_cell_angle_gamma 90.00
_space_group_name_H-M_alt 'C 1 2/m 1'
_space_group_IT_number 12
_space_group_name_Hall '-C 2y'
loop_
_atom_site_label
_atom_site_type_symbol
_atom_site_fract_x
_atom_site_fract_y
_atom_site_fract_z
Sm1 Sm 0.000 0.000 0.000
Sm2 Sm 0.163 0.000 0.706
Ga1 Ga 0.038 0.500 0.777
Ga2 Ga 0.139 0.500 0.454
Ga3 Ga 0.195 0.000 0.125
Pt1 Pt 0.000 0.500 0.500
Pt2 Pt 0.042 0.000 0.334
Pt3 Pt 0.116 0.500 0.192
Pt4 Pt 0.174 0.500 0.954
Pt5 Pt 0.219 0.000 0.390
```

Computed properties:
Its formation energy is -0.91 eV per atom.

| no. | DFT total energy (eV/atom) |
| --- | --- |
| 1 | -3.419 |
| 2 | -2.815 |
| 3 | -3.342 |
| 4 | -7.483 |
| 5 | -5.285 |
| 6 | -2.554 |
| 7 | -2.166 |
| 8 | -3.051 |
| 9 | -4.297 |
| 10 | -9.239 |
| 11 | -5.174 |
| 12 | -5.727 |